Here is crystalline SiSnBrCl2 at its relaxed geometry from Alexandria via LeMat-Bulk. Energies are from PBE-GGA.

Output
- Calculated density: 3.305 g/cm3
- Fermi-level density of states: 1.3 states/eV per cell
- Uncorrected energy: -14.973 eV/cell

Structure (CIF):
```
data_SiSnBrCl2
_chemical_formula_sum 'Si1 Sn1 Br1 Cl2'
_cell_length_a 5.085
_cell_length_b 5.085
_cell_length_c 5.782
_cell_angle_alpha 90.00
_cell_angle_beta 90.00
_cell_angle_gamma 90.00
_symmetry_space_group_name_H-M 'P 4/m m m'
_symmetry_Int_Tables_number 123
_symmetry_space_group_name_Hall '-P 4 2'
loop_
_atom_site_label
_atom_site_type_symbol
_atom_site_fract_x
_atom_site_fract_y
_atom_site_fract_z
Si1 Si 0.000 0.000 0.000
Sn1 Sn 0.000 0.000 0.500
Br1 Br 0.500 0.500 0.000
Cl1 Cl 0.000 0.500 0.500
```

Here is crystalline Sr4SiBrCl2 at its relaxed geometry from Alexandria via LeMat-Bulk. Energies are from PBE-GGA.

Output
- Calculated density: 3.399 g/cm3
- Fermi-level density of states: 3.6 states/eV per cell
- Uncorrected energy: -28.527 eV/cell

Structure (CIF):
```
data_Sr4SiBrCl2
_chemical_formula_sum 'Sr4 Si1 Br1 Cl2'
_cell_length_a 7.630
_cell_length_b 4.594
_cell_length_c 7.837
_cell_angle_alpha 90.00
_cell_angle_beta 109.70
_cell_angle_gamma 90.00
_symmetry_space_group_name_H-M 'P 1 2/m 1'
_symmetry_Int_Tables_number 10
loop_
_symmetry_equiv_pos_as_xyz
'x,y,z'
'-x,-y,-z'
'-x,y,-z'
'x,-y,z'
loop_
_atom_site_label
_atom_site_type_symbol
_atom_site_fract_x
_atom_site_fract_y
_atom_site_fract_z
Sr1 Sr 0.231 0.000 0.224
Sr2 Sr 0.245 0.500 0.770
Si1 Si 0.000 0.500 0.000
Br1 Br 0.000 0.000 0.500
Cl1 Cl 0.500 0.000 0.000
Cl2 Cl 0.500 0.500 0.500
```

Here is crystalline TaSi2BrCl at its relaxed geometry from Alexandria via LeMat-Bulk. Energies are from PBE-GGA.

Output
- Calculated density: 4.643 g/cm3
- Fermi-level density of states: 2.6 states/eV per cell
- Uncorrected energy: -24.312 eV/cell

Structure (CIF):
```
data_TaSi2BrCl
_chemical_formula_sum 'Ta1 Si2 Br1 Cl1'
_cell_length_a 5.051
_cell_length_b 5.051
_cell_length_c 4.942
_cell_angle_alpha 90.00
_cell_angle_beta 90.00
_cell_angle_gamma 90.00
_symmetry_space_group_name_H-M 'P 4/m m m'
_symmetry_Int_Tables_number 123
_symmetry_space_group_name_Hall '-P 4 2'
loop_
_atom_site_label
_atom_site_type_symbol
_atom_site_fract_x
_atom_site_fract_y
_atom_site_fract_z
Ta1 Ta 0.000 0.000 0.000
Si1 Si 0.000 0.500 0.000
Br1 Br 0.000 0.000 0.500
Cl1 Cl 0.500 0.500 0.500
```

Here is crystalline Si2TcBrCl at its relaxed geometry from Alexandria via LeMat-Bulk. Energies are from PBE-GGA.

Output
- Calculated density: 4.143 g/cm3
- Fermi-level density of states: 4.4 states/eV per cell
- Uncorrected energy: -23.804 eV/cell

Structure (CIF):
```
data_Si2TcBrCl
_chemical_formula_sum 'Si2 Tc1 Br1 Cl1'
_cell_length_a 4.780
_cell_length_b 4.780
_cell_length_c 4.729
_cell_angle_alpha 90.00
_cell_angle_beta 90.00
_cell_angle_gamma 90.00
_symmetry_space_group_name_H-M 'P 4/m m m'
_symmetry_Int_Tables_number 123
_symmetry_space_group_name_Hall '-P 4 2'
loop_
_atom_site_label
_atom_site_type_symbol
_atom_site_fract_x
_atom_site_fract_y
_atom_site_fract_z
Si1 Si 0.000 0.500 0.000
Tc1 Tc 0.000 0.000 0.000
Br1 Br 0.500 0.500 0.500
Cl1 Cl 0.000 0.000 0.500
```

Here is crystalline SmBrCl2 at its relaxed geometry from Alexandria via LeMat-Bulk. Energies are from PBE-GGA.

Output
- Calculated density: 4.065 g/cm3
- Fermi-level density of states: 0.0 states/eV per cell
- Uncorrected energy: -37.223 eV/cell
- Polymorph energy (0 for the lowest one): 0.000 eV/atom

Structure (CIF):
```
data_SmBrCl2
_chemical_formula_sum 'Sm2 Br2 Cl4'
_cell_length_a 3.974
_cell_length_b 8.710
_cell_length_c 7.380
_cell_angle_alpha 90.00
_cell_angle_beta 105.55
_cell_angle_gamma 90.00
_symmetry_space_group_name_H-M 'P 1 21/m 1'
_symmetry_Int_Tables_number 11
loop_
_symmetry_equiv_pos_as_xyz
'x,y,z'
'-x,-y,-z'
'-x,y+1/2,-z'
'x,-y+1/2,z'
loop_
_atom_site_label
_atom_site_type_symbol
_atom_site_fract_x
_atom_site_fract_y
_atom_site_fract_z
Sm1 Sm 0.240 0.250 0.480
Br1 Br 0.406 0.750 0.813
Cl1 Cl 0.167 0.570 0.334
```

Here is crystalline SmBrCl at its relaxed geometry from Alexandria via LeMat-Bulk. Energies are from PBE-GGA.

Output
- Calculated density: 4.548 g/cm3
- Fermi-level density of states: 1.6 states/eV per cell
- Uncorrected energy: -13.609 eV/cell

Structure (CIF):
```
data_SmBrCl
_chemical_formula_sum 'Sm1 Br1 Cl1'
_cell_length_a 3.8950
_cell_length_b 3.8950
_cell_length_c 7.3848
_cell_angle_alpha 90.00
_cell_angle_beta 90.00
_cell_angle_gamma 120.00
_symmetry_space_group_name_H-M 'P 3 m 1'
_symmetry_Int_Tables_number 156
loop_
_symmetry_equiv_pos_as_xyz
'x,y,z'
'-y,x-y,z'
'-x+y,-x,z'
'-y,-x,z'
'-x+y,y,z'
'x,x-y,z'
loop_
_atom_site_label
_atom_site_type_symbol
_atom_site_fract_x
_atom_site_fract_y
_atom_site_fract_z
Sm1 Sm 0.0000 0.0000 0.0000
Br1 Br 0.3333 0.6667 0.7444
Cl1 Cl 0.6667 0.3333 0.2298
```

- What is the Fermi-level density of states in the third record?
  2.6 states/eV per cell

Copy entry 6 word for word.
Here is crystalline SmBrCl at its relaxed geometry from Alexandria via LeMat-Bulk. Energies are from PBE-GGA.

Output
- Calculated density: 4.548 g/cm3
- Fermi-level density of states: 1.6 states/eV per cell
- Uncorrected energy: -13.609 eV/cell

Structure (CIF):
```
data_SmBrCl
_chemical_formula_sum 'Sm1 Br1 Cl1'
_cell_length_a 3.8950
_cell_length_b 3.8950
_cell_length_c 7.3848
_cell_angle_alpha 90.00
_cell_angle_beta 90.00
_cell_angle_gamma 120.00
_symmetry_space_group_name_H-M 'P 3 m 1'
_symmetry_Int_Tables_number 156
loop_
_symmetry_equiv_pos_as_xyz
'x,y,z'
'-y,x-y,z'
'-x+y,-x,z'
'-y,-x,z'
'-x+y,y,z'
'x,x-y,z'
loop_
_atom_site_label
_atom_site_type_symbol
_atom_site_fract_x
_atom_site_fract_y
_atom_site_fract_z
Sm1 Sm 0.0000 0.0000 0.0000
Br1 Br 0.3333 0.6667 0.7444
Cl1 Cl 0.6667 0.3333 0.2298
```